## PrBe13 (PBEsol)

Data for PrBe13 after structural relaxation.

Lattice parameters (Å, degrees): 10.282 10.282 10.282 90.00 90.00 90.00
Space group Fm-3c (No. 226)
Unique sites:
Pr: 0.250 0.250 0.250 (multiplicity 8)
Be: 0.000 0.000 0.000 (multiplicity 8)
Be: 0.000 0.113 0.176 (multiplicity 96)

## Properties
energy of formation from the pure elements: -0.151 eV per atom


## Nd9Al5S21 (PBEsol)

Data for Nd9Al5S21 after structural relaxation.

Lattice parameters (Å, degrees): 17.0243 17.0243 18.1208 90.00 90.00 120.00
Space group R3 (No. 146, hexagonal axes)
Unique sites:
Nd: 0.0188 0.8250 0.0000 (multiplicity 9)
Nd: 0.0258 0.8220 0.3219 (multiplicity 9)
Nd: 0.0303 0.8280 0.6591 (multiplicity 9)
Nd: 0.1551 0.4641 0.4861 (multiplicity 9)
Nd: 0.1582 0.4661 0.8306 (multiplicity 9)
Nd: 0.1614 0.4684 0.1644 (multiplicity 9)
Al: 0.0000 0.0000 0.2203 (multiplicity 3)
Al: 0.0000 0.0000 0.4022 (multiplicity 3)
Al: 0.0000 0.0000 0.7175 (multiplicity 3)
Al: 0.0000 0.0000 0.8994 (multiplicity 3)
Al: 0.0031 0.3405 0.6868 (multiplicity 9)
Al: 0.0050 0.6683 0.5202 (multiplicity 9)
S: 0.9997 0.3333 0.2314 (multiplicity 9)
S: 0.0004 0.6693 0.7312 (multiplicity 9)
S: 0.0091 0.4599 0.4004 (multiplicity 9)
S: 0.0135 0.8943 0.8032 (multiplicity 9)
S: 0.0146 0.8884 0.4656 (multiplicity 9)
S: 0.0162 0.8865 0.1537 (multiplicity 9)
S: 0.0195 0.4671 0.7392 (multiplicity 9)
S: 0.0245 0.4612 0.0676 (multiplicity 9)
S: 0.1194 0.0145 0.3067 (multiplicity 9)
S: 0.1240 0.0104 0.9632 (multiplicity 9)
S: 0.1251 0.7829 0.9047 (multiplicity 9)
S: 0.1286 0.7714 0.2352 (multiplicity 9)
S: 0.1313 0.0186 0.6512 (multiplicity 9)
S: 0.1337 0.7811 0.5674 (multiplicity 9)

## Properties
ΔE_f (raw): -1.775 eV per atom


## P2OsW (PBEsol)

Data for P2OsW after structural relaxation.

Lattice parameters (Å, degrees): 2.9511 2.9511 22.1547 90.00 90.00 120.00
Space group R3m (No. 160, hexagonal axes)
Unique sites:
P: 0.0000 0.0000 0.0000 (multiplicity 3)
P: 0.0000 0.0000 0.2522 (multiplicity 3)
Os: 0.0000 0.0000 0.5119 (multiplicity 3)
W: 0.0000 0.0000 0.7438 (multiplicity 3)

## Properties
energy of formation from the pure elements: -0.043 eV per atom


## RbBa3Au (PBEsol)

Data for RbBa3Au after structural relaxation.

Lattice parameters (Å, degrees): 6.495 6.495 6.495 90.00 90.00 90.00
Space group Pm-3m (No. 221)
Unique sites:
Rb: 0.000 0.000 0.000 (multiplicity 1)
Ba: 0.000 0.500 0.500 (multiplicity 3)
Au: 0.500 0.500 0.500 (multiplicity 1)

## Properties
energy of formation from the pure elements: -0.237 eV per atom


## CsAl3Fe (PBEsol)

Data for CsAl3Fe after structural relaxation.

Lattice parameters (Å, degrees): 4.743 4.743 4.743 90.00 90.00 90.00
Space group Pm-3m (No. 221)
Unique sites:
Cs: 0.000 0.000 0.000 (multiplicity 1)
Al: 0.000 0.500 0.500 (multiplicity 3)
Fe: 0.500 0.500 0.500 (multiplicity 1)

## Properties
energy of formation from the pure elements: 0.105 eV per atom


## LiBe2Cr (PBEsol)

Data for LiBe2Cr after structural relaxation.

Lattice parameters (Å, degrees): 2.397 4.031 8.119 90.00 90.00 90.00
Space group Immm (No. 71)
Unique sites:
Li: 0.000 0.000 0.000 (multiplicity 2)
Be: 0.000 0.500 0.256 (multiplicity 4)
Cr: 0.000 0.000 0.500 (multiplicity 2)

## Properties
energy of formation from the pure elements: 0.506 eV per atom
relative energy among the computed polymorphs: 244 meV/atom


## CaZrBrN2 (PBEsol)

Data for CaZrBrN2 after structural relaxation.

Lattice parameters (Å, degrees): 4.393 4.393 4.813 90.00 90.00 90.00
Space group P4/mmm (No. 123)
Unique sites:
Ca: 0.000 0.000 0.000 (multiplicity 1)
Zr: 0.500 0.500 0.000 (multiplicity 1)
Br: 0.000 0.000 0.500 (multiplicity 1)
N: 0.000 0.500 0.500 (multiplicity 2)

## Properties
ΔE_f (raw): 1.738 eV per atom


## Cr2NO (PBEsol)

Data for Cr2NO after structural relaxation.

Lattice parameters (Å, degrees): 4.371 4.371 8.764 90.00 90.00 90.00
Space group I-42d (No. 122)
Unique sites:
Cr: 0.237 0.750 0.125 (multiplicity 8)
N: 0.000 0.000 0.000 (multiplicity 4)
O: 0.000 0.000 0.500 (multiplicity 4)

## Properties
ΔE_f (raw): -0.893 eV per atom
relative energy among the computed polymorphs: 0 meV/atom


## SmPb3 (PBEsol)

Data for SmPb3 after structural relaxation.

Lattice parameters (Å, degrees): 4.813 4.813 4.813 90.00 90.00 90.00
Space group Pm-3m (No. 221)
Unique sites:
Sm: 0.000 0.000 0.000 (multiplicity 1)
Pb: 0.000 0.500 0.500 (multiplicity 3)

## Properties
energy of formation from the pure elements: -0.383 eV per atom


## V3Se4 (PBEsol)

Data for V3Se4 after structural relaxation.

Lattice parameters (Å, degrees): 13.058 3.334 6.086 90.00 115.61 90.00
Space group C2/m (No. 12)
Unique sites:
V: 0.000 0.000 0.000 (multiplicity 2)
V: 0.244 0.500 0.678 (multiplicity 4)
Se: 0.105 0.000 0.450 (multiplicity 4)
Se: 0.141 0.500 0.976 (multiplicity 4)

## Properties
ΔE_f (raw): -0.774 eV per atom


## Os2NF (PBEsol)

Data for Os2NF after structural relaxation.

Lattice parameters (Å, degrees): 5.555 5.555 5.555 90.00 90.00 90.00
Space group Fm-3m (No. 225)
Unique sites:
Os: 0.250 0.250 0.250 (multiplicity 8)
N: 0.000 0.000 0.000 (multiplicity 4)
F: 0.000 0.000 0.500 (multiplicity 4)

## Properties
ΔE_f (raw): 1.438 eV per atom


## MnTeRh2 (PBEsol)

Data for MnTeRh2 after structural relaxation.

Lattice parameters (Å, degrees): 8.964 3.462 4.200 90.00 106.81 90.00
Space group Cm (No. 8)
Unique sites:
Mn: 0.000 0.000 0.000 (multiplicity 2)
Te: 0.264 0.500 0.352 (multiplicity 2)
Rh: 0.262 0.000 0.865 (multiplicity 2)
Rh: 0.499 0.000 0.500 (multiplicity 2)

## Properties
ΔE_f (raw): -0.011 eV per atom


Computed theoretical density (Mg/m³) in order:
3.15 4.61 13.00 4.21 4.20 3.26 4.28 5.32 11.50 6.51 16.02 10.34
Computed spin magnetization (μB/f.u.) in order:
0.00 0.00 0.00 0.00 0.00 0.96 1.42 4.02 0.00 1.90 0.00 4.23